(1)
# Tb3Pm5Pr

Tb3Pm5Pr after structural relaxation (GGA-PBE, Alexandria).

Output
* SG: C2/m, No. 12
* DOS at the Fermi energy: 1.46 states/eV per atom
* V: 36.51 Å³/atom
* energy of formation from the pure elements: 397 meV/atom
* excess energy over the best structure of this formula in the dataset: 269 meV/atom

Lattice parameters (Å, degrees): 9.4620 9.4620 12.7744 52.11 52.11 51.87
Atoms (fractional coordinates):
1 Pm 0.4419 0.4419 0.4234
2 Pm 0.3174 0.6826 0.0000
3 Pm 0.6826 0.3174 0.0000
4 Pm 0.9122 0.5126 0.2247
5 Pm 0.3661 0.3661 0.9407
6 Pm 0.4874 0.0878 0.7753
7 Pm 0.0878 0.4874 0.7753
8 Pm 0.5126 0.9122 0.2247
9 Pm 0.5581 0.5581 0.5766
10 Pm 0.6339 0.6339 0.0593
11 Tb 0.1657 0.1657 0.6553
12 Tb 0.8343 0.8343 0.3447
13 Tb 0.0000 0.0000 0.5000
14 Tb 0.0000 0.0000 0.0000
15 Tb 0.2972 0.2972 0.3117
16 Tb 0.7028 0.7028 0.6883
17 Pr 0.1049 0.1049 0.1342
18 Pr 0.8951 0.8951 0.8658

(2)
# HoEr3Tm3

HoEr3Tm3 after structural relaxation (GGA-PBE, Alexandria).

Output
* SG: R-3, No. 148
* DOS at the Fermi energy: 1.36 states/eV per atom
* V: 31.75 Å³/atom
* energy of formation from the pure elements: 142 meV/atom
* excess energy over the best structure of this formula in the dataset: 140 meV/atom

Lattice parameters (Å, degrees): 14.3838 14.3838 14.3838 24.34 24.34 24.34
Atoms (fractional coordinates):
1 Er 0.1331 0.8012 0.4643
2 Er 0.5357 0.8669 0.1988
3 Er 0.4643 0.1331 0.8012
4 Er 0.8669 0.1988 0.5357
5 Er 0.1988 0.5357 0.8669
6 Er 0.8012 0.4643 0.1331
7 Tm 0.9336 0.5990 0.2676
8 Tm 0.7324 0.0664 0.4010
9 Tm 0.2676 0.9336 0.5990
10 Tm 0.4010 0.7324 0.0664
11 Tm 0.0664 0.4010 0.7324
12 Tm 0.5990 0.2676 0.9336
13 Ho 0.3333 0.3333 0.3333
14 Ho 0.6667 0.6667 0.6667

(3)
# Ti5Tc6Ru

Ti5Tc6Ru after structural relaxation (GGA-PBE, Alexandria).

Output
* SG: Cmmm, No. 65
* DOS at the Fermi energy: 0.82 states/eV per atom
* V: 14.84 Å³/atom
* energy of formation from the pure elements: -408 meV/atom

Lattice parameters (Å, degrees): 4.3752 6.1883 6.9311 90.00 108.44 90.00
Atoms (fractional coordinates):
1 Ti 0.6671 0.0000 0.3343
2 Ti 0.6661 0.5000 0.3323
3 Ti 0.0000 0.5000 0.0000
4 Ti 0.3339 0.5000 0.6677
5 Ti 0.3329 0.0000 0.6657
6 Tc 0.1652 0.7501 0.3306
7 Tc 0.8348 0.2499 0.6694
8 Tc 0.8348 0.7501 0.6694
9 Tc 0.5000 0.2505 0.0000
10 Tc 0.5000 0.7495 0.0000
11 Tc 0.1652 0.2499 0.3306
12 Ru 0.0000 0.0000 0.0000

(4)
# PrCd2I6

PrCd2I6 after structural relaxation (GGA-PBE, Alexandria).

Output
* SG: R3, No. 146
* DOS at the Fermi energy: 0.30 states/eV per atom
* V: 49.56 Å³/atom
* uncorrected formation energy: -811.7 meV per atom

Lattice parameters (Å, degrees): 8.0856 8.0856 9.1579 63.80 63.80 60.00
Site moments in Bohr magnetons follow the coordinates.
Atoms (fractional coordinates):
1 I 0.4182 0.1105 0.7475  0.05
2 I 0.7238 0.4182 0.7475  0.05
3 I 0.5570 0.9425 0.2523  0.05
4 I 0.9425 0.2482 0.2523  0.05
5 I 0.1105 0.7238 0.7475  0.05
6 I 0.2482 0.5570 0.2523  0.05
7 Cd 0.7265 0.7265 0.8206  0.12
8 Cd 0.6058 0.6058 0.1826  0.12
9 Pr 0.3332 0.3332 0.0005  0.03

(5)
# YAg2Br

YAg2Br after structural relaxation (GGA-PBE, Alexandria).

Output
* SG: Cm, No. 8
* DOS at the Fermi energy: 0.04 states/eV per atom
* V: 29.24 Å³/atom
* excess energy over the best structure of this formula in the dataset: 0 meV/atom
* uncorrected formation energy: -458.8 meV per atom

Lattice parameters (Å, degrees): 4.1290 4.1290 7.8895 90.11 90.11 60.40
Atoms (fractional coordinates):
1 Br 0.6272 0.6272 0.4438
2 Ag 0.9576 0.9576 0.0069
3 Ag 0.6222 0.6222 0.8362
4 Y 0.2930 0.2930 0.2132

(6)
# Sr2InH

Sr2InH after structural relaxation (GGA-PBE, Alexandria).

Output
* SG: Fm-3m, No. 225
* DOS at the Fermi energy: 0.42 states/eV per atom
* V: 30.45 Å³/atom
* excess energy over the best structure of this formula in the dataset: 308 meV/atom

Lattice parameters (Å, degrees): 5.5637 5.5637 5.5637 60.00 60.00 60.00
Atoms (fractional coordinates):
1 Sr 0.7500 0.7500 0.7500
2 Sr 0.2500 0.2500 0.2500
3 In 0.5000 0.5000 0.5000
4 H 0.0000 0.0000 0.0000

(7)
# Pu2HBr4

Pu2HBr4 after structural relaxation (GGA-PBE, Alexandria).

Output
* SG: R-3m, No. 166
* DOS at the Fermi energy: 2.91 states/eV per atom
* V: 27.41 Å³/atom
* energy: -47.22 eV per cell

Lattice parameters (Å, degrees): 5.0290 5.0290 9.2288 74.19 74.19 60.00
Site moments in Bohr magnetons follow the coordinates.
Atoms (fractional coordinates):
1 Br 0.1204 0.1204 0.6388  -0.04
2 Br 0.7062 0.7062 0.8813  -0.04
3 Br 0.2938 0.2938 0.1187  -0.04
4 Br 0.8796 0.8796 0.3612  -0.04
5 Pu 0.5816 0.5816 0.2553  5.47
6 Pu 0.4184 0.4184 0.7447  5.47
7 H 0.5000 0.5000 0.5000  -0.03

(8)
# Pr2Y4TmMg

Pr2Y4TmMg after structural relaxation (GGA-PBE, Alexandria).

Output
* SG: P2/m, No. 10
* DOS at the Fermi energy: 1.70 states/eV per atom
* V: 32.02 Å³/atom
* energy of formation from the pure elements: 31 meV/atom

Lattice parameters (Å, degrees): 5.0169 5.0289 11.3344 63.60 90.00 90.00
Atoms (fractional coordinates):
1 Y 0.0000 0.7497 0.7504
2 Y 0.0000 0.2503 0.2496
3 Y 0.5000 0.7499 0.2499
4 Y 0.5000 0.2501 0.7501
5 Tm 0.0000 0.5000 0.5000
6 Pr 0.0000 0.0000 0.0000
7 Pr 0.5000 0.0000 0.5000
8 Mg 0.5000 0.5000 0.0000